Entry 1:
First-principles (PBE) data for an optimized crystal structure of ZrSc4Tl, as listed in the Alexandria database.

Output
electronic total energy: -0.429 Ry per atom
space-group type: F-43m
excess energy over the best structure of this formula in the dataset: 277 meV per atom

Cell lengths 5.880, 5.880, 5.880 Å; angles 60.00, 60.00, 60.00 degrees
Atoms (fractional coordinates):
Zr (0.000, 0.000, 0.000)
Sc (0.121, 0.626, 0.626)
Sc (0.626, 0.121, 0.626)
Sc (0.626, 0.626, 0.121)
Sc (0.626, 0.626, 0.626)
Tl (0.250, 0.250, 0.250)

=====

Entry 2:
First-principles (PBE) data for an optimized crystal structure of TlCuW2, as listed in the Alexandria database.

Output
electronic total energy: -0.544 Ry per atom
space-group type: C2/m
excess energy over the best structure of this formula in the dataset: 143 meV per atom

Cell lengths 9.815, 3.211, 4.460 Å; angles 90.00, 107.42, 90.00 degrees
Atoms (fractional coordinates):
Tl (0.000, 0.000, 0.000)
Tl (0.500, 0.500, 0.000)
Cu (0.000, 0.500, 0.500)
Cu (0.500, 0.000, 0.500)
W (0.243, 0.000, 0.734)
W (0.257, 0.500, 0.266)
W (0.743, 0.500, 0.734)
W (0.757, 0.000, 0.266)

=====

Entry 3:
First-principles (PBE) data for an optimized crystal structure of NaSnW2Au, as listed in the Alexandria database.

Output
electronic total energy: -0.356 Ry per atom
space-group type: P4/mmm
excess energy over the best structure of this formula in the dataset: 0 meV per atom

Cell lengths 5.221, 5.221, 5.244 Å; angles 90.00, 90.00, 90.00 degrees
Atoms (fractional coordinates):
Na (0.000, 0.000, 0.000)
Sn (0.500, 0.500, 0.500)
W (0.000, 0.500, 0.500)
W (0.500, 0.000, 0.500)
Au (0.500, 0.500, 0.000)

=====

Entry 4:
First-principles (PBE) data for an optimized crystal structure of CuSi2P, as listed in the Alexandria database.

Output
electronic total energy: -0.358 Ry per atom
space-group type: Pm
formation energy from raw total energies: 0.223 eV/atom

Cell lengths 2.506, 3.323, 7.136 Å; angles 90.00, 98.78, 90.00 degrees
Atoms (fractional coordinates):
Cu (0.000, 0.000, 0.000)
Si (0.606, 0.500, 0.208)
Si (0.752, 0.000, 0.490)
P (0.865, 0.500, 0.739)

=====

Entry 5:
First-principles (PBE) data for an optimized crystal structure of Rb2UCrSe6, as listed in the Alexandria database.

Output
electronic total energy: -0.385 Ry per atom
space-group type: Fm-3m
formation energy from raw total energies: -0.860 eV/atom

Cell lengths 7.348, 7.348, 7.348 Å; angles 60.00, 60.00, 60.00 degrees
Atoms (fractional coordinates):
Rb (0.250, 0.250, 0.250)
Rb (0.750, 0.750, 0.750)
U (0.000, 0.000, 0.000)
Cr (0.500, 0.500, 0.500)
Se (0.258, 0.258, 0.742)
Se (0.258, 0.742, 0.258)
Se (0.258, 0.742, 0.742)
Se (0.742, 0.258, 0.258)
Se (0.742, 0.258, 0.742)
Se (0.742, 0.742, 0.258)

=====

Entry 6:
First-principles (PBE) data for an optimized crystal structure of DyErTh14, as listed in the Alexandria database.

Output
electronic total energy: -0.517 Ry per atom
space-group type: Amm2

Cell lengths 11.571, 7.169, 7.169 Å; angles 59.97, 90.00, 90.00 degrees
Atoms (fractional coordinates):
Dy (0.000, 0.000, 0.000)
Er (0.000, 0.500, 0.500)
Th (0.000, 0.496, 0.997)
Th (0.000, 0.997, 0.496)
Th (0.250, 0.165, 0.665)
Th (0.250, 0.665, 0.165)
Th (0.250, 0.665, 0.665)
Th (0.251, 0.165, 0.165)
Th (0.500, 0.332, 0.332)
Th (0.500, 0.332, 0.831)
Th (0.500, 0.831, 0.332)
Th (0.500, 0.832, 0.832)
Th (0.749, 0.165, 0.165)
Th (0.750, 0.165, 0.665)
Th (0.750, 0.665, 0.165)
Th (0.750, 0.665, 0.665)

=====

Entry 7:
First-principles (PBE) data for an optimized crystal structure of GdFe2SiC, as listed in the Alexandria database.

Output
electronic total energy: -0.707 Ry per atom
space-group type: Cmcm
formation energy from raw total energies: -0.494 eV/atom

Cell lengths 5.558, 5.558, 6.733 Å; angles 90.00, 90.00, 140.02 degrees
Atoms (fractional coordinates):
Gd (0.052, 0.948, 0.750)
Gd (0.948, 0.052, 0.250)
Fe (0.335, 0.665, 0.563)
Fe (0.335, 0.665, 0.937)
Fe (0.665, 0.335, 0.063)
Fe (0.665, 0.335, 0.437)
Si (0.229, 0.771, 0.250)
Si (0.771, 0.229, 0.750)
C (0.500, 0.500, 0.000)
C (0.500, 0.500, 0.500)

=====

Entry 8:
First-principles (PBE) data for an optimized crystal structure of Ce3SmHo2As6, as listed in the Alexandria database.

Output
electronic total energy: -0.473 Ry per atom
space-group type: C2/m

Cell lengths 7.239, 7.239, 7.227 Å; angles 99.62, 99.62, 120.00 degrees
Atoms (fractional coordinates):
Ce (0.000, 0.000, 0.000)
Ce (0.334, 0.666, 0.000)
Ce (0.666, 0.334, 0.000)
Sm (0.500, 0.500, 0.500)
Ho (0.167, 0.833, 0.500)
Ho (0.833, 0.167, 0.500)
As (0.080, 0.417, 0.253)
As (0.245, 0.245, 0.746)
As (0.417, 0.080, 0.253)
As (0.583, 0.920, 0.747)
As (0.755, 0.755, 0.254)
As (0.920, 0.583, 0.747)